# 1
This record from Alexandria describes crystalline CePmMg2Rh4 at its relaxed geometry. The functional is PBE.

Cell: 8.1420 8.1420 8.1420 Å, 33.66 33.66 33.66°
With the nearest neighbours (Å) after each atom.
Fractional coordinates of all 8 atoms:
Ce1 0.0000 0.0000 0.0000  8 Rh 2.75-2.87
Pm1 0.5000 0.5000 0.5000  8 Rh 2.93
Mg1 0.2486 0.2486 0.2486  8 Rh 2.84-2.98
Mg2 0.7514 0.7514 0.7514  8 Rh 2.84-2.98
Rh1 0.1194 0.1194 0.1194  1 Ce 2.75, 4 Mg 2.84-2.98, 3 Pm 2.93
Rh2 0.3729 0.3729 0.3729  4 Mg 2.86-2.91, 3 Ce 2.87, 1 Pm 2.93
Rh3 0.6271 0.6271 0.6271  4 Mg 2.86-2.91, 3 Ce 2.87, 1 Pm 2.93
Rh4 0.8806 0.8806 0.8806  1 Ce 2.75, 4 Mg 2.84-2.98, 3 Pm 2.93

## Properties
- Total magnetic moment: 0.0 μB/f.u.
- Theoretical density: 8.38 g/cm³
- DOS at the Fermi energy: 0.457 states/eV/atom
- Uncorrected energy: -6.06 eV/atom
- Formation energy from the elements: -0.647 eV per atom

=====

# 2
This record from Alexandria describes crystalline Lu2AlCo3 at its relaxed geometry. The functional is PBE.

Cell: 4.9118 4.9118 4.9118 Å, 64.54 64.54 64.54°
With the nearest neighbours (Å) after each atom.
Fractional coordinates of all 6 atoms:
Lu1 0.1283 0.1283 0.1283  9 Co 2.82-3.02, 4 Lu 2.98-3.16, 3 Al 3.06
Lu2 0.8717 0.8717 0.8717  9 Co 2.82-3.02, 4 Lu 2.98-3.16, 3 Al 3.06
Al1 0.5000 0.5000 0.5000  6 Co 2.46
Co1 0.0000 0.5000 0.5000  2 Al 2.46, 4 Co 2.62
Co2 0.5000 0.0000 0.5000  2 Al 2.46, 4 Co 2.62
Co3 0.5000 0.5000 0.0000  2 Al 2.46, 4 Co 2.62

## Properties
- Total magnetic moment: 0.4 μB/f.u.
- Theoretical density: 9.98 g/cm³
- DOS at the Fermi energy: 1.087 states/eV/atom
- Uncorrected energy: -6.06 eV/atom
- Formation energy from the elements: -0.381 eV per atom

=====

# 3
This record from Alexandria describes crystalline K2NaIn12Pt3 at its relaxed geometry. The functional is PBE.

Cell: 8.6861 8.6861 8.6861 Å, 71.46 71.46 71.46°
With the nearest neighbours (Å) after each atom.
Fractional coordinates of all 18 atoms:
K1 0.0887 0.0887 0.0887  1 K 3.41, 3 In 3.42
K2 0.9113 0.9113 0.9113  1 K 3.41, 3 In 3.42
Na1 0.5000 0.5000 0.5000  6 In 3.15
In1 0.1187 0.6493 0.6493  1 Pt 2.68
In2 0.2300 0.2300 0.6035  2 Pt 2.67
In3 0.2300 0.6035 0.2300  2 Pt 2.67
In4 0.3507 0.3507 0.8813  1 Pt 2.68
In5 0.3507 0.8813 0.3507  1 Pt 2.68
In6 0.3965 0.7700 0.7700  2 Pt 2.67
In7 0.6035 0.2300 0.2300  2 Pt 2.67
In8 0.6493 0.1187 0.6493  1 Pt 2.68
In9 0.6493 0.6493 0.1187  1 Pt 2.68
In10 0.7700 0.3965 0.7700  2 Pt 2.67
In11 0.7700 0.7700 0.3965  2 Pt 2.67
In12 0.8813 0.3507 0.3507  1 Pt 2.68
Pt1 0.0000 0.5000 0.5000  6 In 2.67-2.68
Pt2 0.5000 0.0000 0.5000  6 In 2.67-2.68
Pt3 0.5000 0.5000 0.0000  6 In 2.67-2.68

## Properties
- Total magnetic moment: 0.0 μB/f.u.
- Theoretical density: 6.00 g/cm³
- DOS at the Fermi energy: 0.574 states/eV/atom
- Uncorrected energy: -3.12 eV/atom
- Formation energy from the elements: -0.089 eV per atom

=====

# 4
This record from Alexandria describes crystalline ScAl2Zn at its relaxed geometry. The functional is PBE.

Cell: 3.0679 4.3647 5.4652 Å, 90.00 90.13 90.00°
With the nearest neighbours (Å) after each atom.
Fractional coordinates of all 4 atoms:
Sc1 0.0000 0.0000 0.0000  8 Al 2.98-2.99, 2 Sc 3.07, 4 Zn 3.13-3.14
Al1 0.4984 0.5000 0.7548  2 Zn 2.59, 2 Al 2.68-2.79
Al2 0.5016 0.5000 0.2452  2 Zn 2.59, 2 Al 2.68-2.79
Zn1 0.5000 0.0000 0.5000  4 Al 2.59

## Properties
- Total magnetic moment: 0.0 μB/f.u.
- Theoretical density: 3.73 g/cm³
- DOS at the Fermi energy: 0.592 states/eV/atom
- Uncorrected energy: -4.02 eV/atom
- Formation energy from the elements: -0.251 eV per atom

=====

# 5
This record from Alexandria describes crystalline KCo2Si at its relaxed geometry. The functional is PBE.

Cell: 4.5246 4.5246 4.5246 Å, 119.87 119.87 90.23°
With the nearest neighbours (Å) after each atom.
Fractional coordinates of all 4 atoms:
K1 0.0000 0.0000 0.0000  4 Co 2.77, 4 Si 2.77
Co1 0.5000 0.5000 0.0000  4 Co 2.77, 4 Si 2.77
Co2 0.7500 0.2500 0.5000  4 Co 2.77, 4 K 2.77
Si1 0.2500 0.7500 0.5000  4 Co 2.77, 4 K 2.77

## Properties
- Total magnetic moment: 3.3 μB/f.u.
- Theoretical density: 4.68 g/cm³
- DOS at the Fermi energy: 1.180 states/eV/atom
- ΔE_f (raw): 4.4 eV per formula unit
- Uncorrected energy: -4.09 eV/atom

=====

# 6
This record from Alexandria describes crystalline Hf3NbPt12 at its relaxed geometry. The functional is PBE.

Cell: 4.0252 4.0252 16.0980 Å, 90.00 90.00 90.00°
With the nearest neighbours (Å) after each atom.
Fractional coordinates of all 16 atoms:
Hf1 0.0000 0.0000 0.0000  12 Pt 2.85
Hf2 0.0000 0.0000 0.2504  12 Pt 2.85-2.86
Hf3 0.0000 0.0000 0.7496  12 Pt 2.85-2.86
Nb1 0.0000 0.0000 0.5000  12 Pt 2.83-2.85
Pt1 0.0000 0.5000 0.1253  8 Pt 2.85, 4 Hf 2.85
Pt2 0.0000 0.5000 0.3765  2 Nb 2.83, 8 Pt 2.83-2.85, 2 Hf 2.86
Pt3 0.0000 0.5000 0.6235  2 Nb 2.83, 8 Pt 2.83-2.85, 2 Hf 2.86
Pt4 0.0000 0.5000 0.8747  8 Pt 2.85, 4 Hf 2.85
Pt5 0.5000 0.0000 0.1253  8 Pt 2.85, 4 Hf 2.85
Pt6 0.5000 0.0000 0.3765  2 Nb 2.83, 8 Pt 2.83-2.85, 2 Hf 2.86
Pt7 0.5000 0.0000 0.6235  2 Nb 2.83, 8 Pt 2.83-2.85, 2 Hf 2.86
Pt8 0.5000 0.0000 0.8747  8 Pt 2.85, 4 Hf 2.85
Pt9 0.5000 0.5000 0.0000  4 Hf 2.85, 8 Pt 2.85
Pt10 0.5000 0.5000 0.2509  4 Hf 2.85, 8 Pt 2.85
Pt11 0.5000 0.5000 0.5000  8 Pt 2.83, 4 Nb 2.85
Pt12 0.5000 0.5000 0.7491  4 Hf 2.85, 8 Pt 2.85

## Properties
- Total magnetic moment: 0.0 μB/f.u.
- Theoretical density: 18.90 g/cm³
- DOS at the Fermi energy: 0.345 states/eV/atom
- Uncorrected energy: -7.98 eV/atom
- Formation energy from the elements: -0.955 eV per atom